1.
{
  "formula": "Li2Tl2In",
  "functional": "GGA-PBE",
  "state": "relaxed",
  "mass_density_g_cm3": 7.62,
  "magnetic_moment_mub_per_fu": 0.00,
  "volume_a3_per_atom": 23.42,
  "e_tot_ev_per_fu": -11.90,
  "polymorph_energy_mev_per_atom": 29.7,
  "spacegroup": "No. 71",
  "delta_e_f_ev_per_atom": -0.12,
  "cell": [[-4.162, 0.034, 2.167], [-1.424, -4.834, 2.421], [0.261, 0.266, 5.578]],
  "species": ["Li", "Li", "Tl", "Tl", "In"],
  "fractional_positions": [[0.500, 0.272, 0.728], [0.500, 0.728, 0.272], [0.199, 0.301, 0.301], [0.801, 0.699, 0.699], [0.000, 0.000, 0.000]]
}

=====

2.
{
  "formula": "Na2Mg2Ag",
  "functional": "GGA-PBE",
  "state": "relaxed",
  "mass_density_g_cm3": 2.60,
  "magnetic_moment_mub_per_fu": 0.00,
  "volume_a3_per_atom": 25.87,
  "e_tot_ev_per_fu": -7.40,
  "polymorph_energy_mev_per_atom": 181.9,
  "spacegroup": "No. 139",
  "delta_e_f_ev_per_atom": 0.26,
  "cell": [[3.933, 0.000, 0.000], [0.000, 3.933, 0.000], [1.967, 1.967, 8.362]],
  "species": ["Na", "Na", "Mg", "Mg", "Ag"],
  "fractional_positions": [[0.750, 0.250, 0.500], [0.250, 0.750, 0.500], [0.414, 0.414, 0.172], [0.586, 0.586, 0.828], [0.000, 0.000, 0.000]]
}